VASP calculation (PBE with a Hubbard U) on crystalline CaNiSnP2O9 at its relaxed geometry.

abc: 6.609 7.730 14.344
angles: 90.00 90.00 90.00
Each line ends with the local moment (μB).
Fractional positions:
1 Ca 0.250 0.920 0.291  0.00
2 Ca 0.250 0.580 0.791  0.00
3 Ca 0.750 0.080 0.709  0.00
4 Ca 0.750 0.420 0.209  0.00
5 Ni 0.000 0.000 0.500  1.80
6 Ni 0.000 0.500 0.000  1.80
7 Ni 0.500 0.500 0.000  1.80
8 Ni 0.500 0.000 0.500  1.80
9 Sn 0.250 0.348 0.382  0.01
10 Sn 0.750 0.652 0.618  0.01
11 Sn 0.750 0.848 0.118  0.01
12 Sn 0.250 0.152 0.882  0.01
13 P 0.750 0.353 0.433  0.00
14 P 0.250 0.647 0.567  0.00
15 P 0.250 0.853 0.067  0.00
16 P 0.750 0.147 0.933  0.00
17 P 0.250 0.382 0.188  0.00
18 P 0.750 0.618 0.812  0.00
19 P 0.750 0.882 0.312  0.00
20 P 0.250 0.118 0.688  0.00
21 O 0.555 0.606 0.870  0.02
22 O 0.055 0.394 0.130  0.02
23 O 0.445 0.106 0.630  0.02
24 O 0.945 0.894 0.370  0.02
25 O 0.445 0.394 0.130  0.02
26 O 0.945 0.606 0.870  0.02
27 O 0.555 0.894 0.370  0.02
28 O 0.055 0.106 0.630  0.02
29 O 0.750 0.322 0.983  0.04
30 O 0.250 0.678 0.017  0.04
31 O 0.250 0.822 0.517  0.04
32 O 0.750 0.178 0.483  0.04
33 O 0.250 0.115 0.437  0.06
34 O 0.750 0.885 0.563  0.06
35 O 0.750 0.615 0.063  0.06
36 O 0.250 0.385 0.937  0.06
37 O 0.250 0.211 0.248  0.01
38 O 0.750 0.789 0.752  0.01
39 O 0.750 0.711 0.252  0.01
40 O 0.250 0.289 0.748  0.01
41 O 0.933 0.129 0.864  0.00
42 O 0.433 0.871 0.136  0.00
43 O 0.067 0.629 0.636  0.00
44 O 0.567 0.371 0.364  0.00
45 O 0.067 0.871 0.136  0.00
46 O 0.567 0.129 0.864  0.00
47 O 0.933 0.371 0.364  0.00
48 O 0.433 0.629 0.636  0.00
49 O 0.250 0.975 0.769  0.00
50 O 0.750 0.025 0.231  0.00
51 O 0.750 0.475 0.731  0.00
52 O 0.250 0.525 0.269  0.00
53 O 0.250 0.004 0.998  0.00
54 O 0.750 0.996 0.002  0.00
55 O 0.750 0.504 0.502  0.00
56 O 0.250 0.496 0.498  0.00

theoretical density = 3.84 Mg/m³
E_tot = -377.04 eV per cell
total moment = 2.00 μB per formula unit
symmetry = No. 62

***

VASP calculation (PBE with a Hubbard U) on crystalline CaPaNiO6 at its relaxed geometry.

abc: 4.707 5.330 5.330
angles: 120.00 90.00 90.00
Each line ends with the local moment (μB).
Fractional positions:
1 Ca 0.500 0.667 0.333  0.00
2 Pa 0.000 0.333 0.667  -0.03
3 Ni 0.500 0.000 0.000  -0.59
4 O 0.734 0.691 0.722  0.23
5 O 0.734 0.278 0.970  0.23
6 O 0.734 0.030 0.309  0.23
7 O 0.266 0.278 0.309  0.23
8 O 0.266 0.691 0.970  0.23
9 O 0.266 0.030 0.722  0.23

theoretical density = 6.11 Mg/m³
E_tot = -61.84 eV per cell
total moment = 1.02 μB per formula unit
symmetry = No. 149

***

VASP calculation (PBE with a Hubbard U) on crystalline CaPa2NiO8 at its relaxed geometry.

abc: 5.126 5.126 6.580
angles: 90.00 90.00 120.00
Fractional positions:
1 Ca 0.000 0.000 0.500
2 Pa 0.667 0.333 0.144
3 Pa 0.333 0.667 0.856
4 Ni 0.000 0.000 0.000
5 O 0.832 0.663 0.839
6 O 0.337 0.168 0.839
7 O 0.832 0.168 0.839
8 O 0.168 0.337 0.161
9 O 0.663 0.832 0.161
10 O 0.168 0.832 0.161
11 O 0.667 0.333 0.433
12 O 0.333 0.667 0.567

theoretical density = 7.64 Mg/m³
E_tot = -92.90 eV per cell
total moment = 0.00 μB per formula unit
symmetry = No. 164

***

VASP calculation (PBE with a Hubbard U) on crystalline CaPaNi2O6 at its relaxed geometry.

abc: 5.539 5.913 8.359
angles: 90.00 82.35 90.00
Each line ends with the local moment (μB).
Fractional positions:
1 Ca 0.500 0.000 0.500  0.00
2 Ca 0.000 0.500 0.000  0.00
3 Pa 0.500 0.000 0.000  -0.01
4 Pa 0.000 0.500 0.500  -0.01
5 Ni 0.968 0.925 0.175  1.62
6 Ni 0.468 0.575 0.675  1.62
7 Ni 0.032 0.075 0.825  1.62
8 Ni 0.532 0.425 0.325  1.62
9 O 0.281 0.742 0.122  -0.08
10 O 0.781 0.758 0.622  -0.08
11 O 0.719 0.258 0.878  -0.08
12 O 0.219 0.242 0.378  -0.08
13 O 0.346 0.664 0.459  0.02
14 O 0.846 0.836 0.959  0.02
15 O 0.654 0.336 0.541  0.02
16 O 0.154 0.164 0.041  0.02
17 O 0.834 0.620 0.273  -0.08
18 O 0.334 0.880 0.773  -0.08
19 O 0.166 0.380 0.727  -0.08
20 O 0.666 0.120 0.227  -0.08

theoretical density = 5.93 Mg/m³
E_tot = -134.99 eV per cell
total moment = 2.95 μB per formula unit
symmetry = No. 14

***

VASP calculation (PBE with a Hubbard U) on crystalline Ca2NiPbO5 at its relaxed geometry.

abc: 3.414 6.648 11.623
angles: 90.00 90.00 104.88
Each line ends with the local moment (μB).
Fractional positions:
1 Ca 0.834 0.668 0.762  0.00
2 Ca 0.081 0.162 0.660  0.00
3 Ca 0.166 0.332 0.262  0.00
4 Ca 0.919 0.838 0.160  0.00
5 Ni 0.754 0.509 0.527  1.75
6 Ni 0.246 0.491 0.027  1.75
7 Pb 0.551 0.102 0.945  0.01
8 Pb 0.449 0.898 0.445  0.01
9 O 0.402 0.803 0.026  0.01
10 O 0.718 0.435 0.915  0.06
11 O 0.488 0.976 0.775  0.01
12 O 0.254 0.508 0.661  0.06
13 O 0.914 0.827 0.554  0.04
14 O 0.598 0.197 0.526  0.01
15 O 0.282 0.565 0.415  0.06
16 O 0.512 0.024 0.275  0.01
17 O 0.746 0.492 0.161  0.06
18 O 0.086 0.173 0.054  0.04

theoretical density = 5.55 Mg/m³
E_tot = -102.11 eV per cell
total moment = 1.98 μB per formula unit
symmetry = No. 36

***

VASP calculation (PBE with a Hubbard U) on crystalline CaNiPbO4 at its relaxed geometry.

abc: 6.546 6.507 6.719
angles: 121.09 90.00 120.20
Each line ends with the local moment (μB).
Fractional positions:
1 Ca 0.868 0.735 0.118  0.01
2 Ca 0.132 0.265 0.882  0.01
3 Ni 0.500 0.500 0.500  1.77
4 Ni 0.000 0.500 0.500  1.77
5 Pb 0.500 0.000 0.500  0.00
6 Pb 0.500 0.000 0.000  0.00
7 O 0.738 0.476 0.701  0.06
8 O 0.286 0.028 0.264  0.03
9 O 0.741 0.028 0.264  0.03
10 O 0.738 0.476 0.275  0.06
11 O 0.262 0.524 0.725  0.06
12 O 0.714 0.972 0.736  0.03
13 O 0.259 0.972 0.736  0.03
14 O 0.262 0.524 0.299  0.06

theoretical density = 6.19 Mg/m³
E_tot = -77.82 eV per cell
total moment = 2.00 μB per formula unit
symmetry = No. 74

***

VASP calculation (PBE with a Hubbard U) on crystalline CaNi2PdO4 at its relaxed geometry.

abc: 5.401 4.935 4.935
angles: 78.59 56.82 56.82
Fractional positions:
1 Ca 0.500 0.000 0.000
2 Ni 0.000 0.250 0.750
3 Ni 0.000 0.750 0.250
4 Pd 0.500 0.500 0.500
5 O 0.020 0.977 0.503
6 O 0.980 0.497 0.023
7 O 0.500 0.503 0.977
8 O 0.500 0.023 0.497

theoretical density = 5.97 Mg/m³
E_tot = -40.04 eV per cell
total moment = 0.00 μB per formula unit
symmetry = No. 121

***

VASP calculation (PBE with a Hubbard U) on crystalline CaPrNiO4 at its relaxed geometry.

abc: 3.801 3.801 6.626
angles: 106.67 106.67 90.00
Each line ends with the local moment (μB).
Fractional positions:
1 Ca 0.639 0.639 0.278  0.00
2 Pr 0.360 0.360 0.720  0.00
3 Ni 0.005 0.005 0.010  1.31
4 O 0.998 0.498 0.995  -0.08
5 O 0.498 0.998 0.995  -0.08
6 O 0.831 0.831 0.662  -0.06
7 O 0.170 0.170 0.339  -0.06

theoretical density = 5.76 Mg/m³
E_tot = -45.31 eV per cell
total moment = 1.00 μB per formula unit
symmetry = No. 107

***

VASP calculation (PBE with a Hubbard U) on crystalline CaPr2NiO5 at its relaxed geometry.

abc: 5.669 6.692 6.692
angles: 90.00 90.00 90.00
Fractional positions:
1 Ca 0.000 0.500 0.500
2 Ca 0.000 0.000 0.000
3 Pr 0.500 0.672 0.172
4 Pr 0.500 0.172 0.328
5 Pr 0.500 0.828 0.672
6 Pr 0.500 0.328 0.828
7 Ni 0.000 0.000 0.500
8 Ni 0.000 0.500 0.000
9 O 0.500 0.500 0.500
10 O 0.500 0.000 0.000
11 O 0.232 0.140 0.640
12 O 0.232 0.860 0.360
13 O 0.232 0.360 0.140
14 O 0.232 0.640 0.860
15 O 0.768 0.140 0.640
16 O 0.768 0.640 0.860
17 O 0.768 0.860 0.360
18 O 0.768 0.360 0.140

theoretical density = 6.03 Mg/m³
E_tot = -123.57 eV per cell
total moment = 0.00 μB per formula unit
symmetry = No. 127

***

VASP calculation (PBE with a Hubbard U) on crystalline CaNiPtO4 at its relaxed geometry.

abc: 6.322 6.386 6.157
angles: 118.82 90.00 119.67
Each line ends with the local moment (μB).
Fractional positions:
1 Ca 0.889 0.777 0.139  0.01
2 Ca 0.111 0.223 0.861  0.01
3 Ni 0.500 0.000 0.500  1.76
4 Ni 0.500 0.000 0.000  1.76
5 Pt 0.500 0.500 0.500  0.00
6 Pt 0.000 0.500 0.500  0.00
7 O 0.735 0.470 0.698  0.03
8 O 0.307 0.056 0.278  0.07
9 O 0.749 0.056 0.278  0.07
10 O 0.735 0.470 0.272  0.03
11 O 0.265 0.530 0.728  0.03
12 O 0.693 0.944 0.722  0.07
13 O 0.251 0.944 0.722  0.07
14 O 0.265 0.530 0.302  0.03

theoretical density = 6.61 Mg/m³
E_tot = -80.64 eV per cell
total moment = 2.00 μB per formula unit
symmetry = No. 74

***

VASP calculation (PBE with a Hubbard U) on crystalline CaPu2NiO8 at its relaxed geometry.

abc: 4.861 4.859 6.883
angles: 90.00 90.00 87.35
Each line ends with the local moment (μB).
Fractional positions:
1 Ca 0.000 0.000 0.500  -0.01
2 Pu 0.500 0.500 0.757  2.57
3 Pu 0.500 0.500 0.243  2.57
4 Ni 0.000 0.000 0.000  1.77
5 O 0.210 0.789 0.229  -0.10
6 O 0.693 0.695 0.000  -0.11
7 O 0.790 0.211 0.229  -0.10
8 O 0.790 0.211 0.771  -0.10
9 O 0.307 0.305 0.000  -0.11
10 O 0.210 0.789 0.771  -0.10
11 O 0.677 0.678 0.500  -0.10
12 O 0.323 0.322 0.500  -0.10

theoretical density = 7.31 Mg/m³
E_tot = -101.63 eV per cell
total moment = 6.00 μB per formula unit
symmetry = No. 65

***

VASP calculation (PBE with a Hubbard U) on crystalline CaPuNiO6 at its relaxed geometry.

abc: 5.294 5.294 10.182
angles: 90.00 90.00 120.00
Each line ends with the local moment (μB).
Fractional positions:
1 Ca 0.000 0.000 0.000  0.00
2 Ca 0.000 0.000 0.500  0.00
3 Pu 0.667 0.333 0.250  -0.15
4 Pu 0.333 0.667 0.750  -0.15
5 Ni 0.333 0.667 0.250  1.70
6 Ni 0.667 0.333 0.750  1.70
7 O 0.647 0.634 0.142  0.03
8 O 0.987 0.353 0.142  0.03
9 O 0.353 0.987 0.642  0.03
10 O 0.013 0.647 0.858  0.03
11 O 0.366 0.353 0.358  0.03
12 O 0.987 0.634 0.358  0.03
13 O 0.634 0.987 0.858  0.03
14 O 0.647 0.013 0.358  0.03
15 O 0.013 0.366 0.642  0.03
16 O 0.366 0.013 0.142  0.03
17 O 0.634 0.647 0.642  0.03
18 O 0.353 0.366 0.858  0.03

theoretical density = 5.90 Mg/m³
E_tot = -134.15 eV per cell
total moment = 1.77 μB per formula unit
symmetry = No. 163